# Cs2Bi3

A relaxed structure of Cs2Bi3 (PBE, Alexandria via LeMat-Bulk).

Properties
* polymorph energy (0 for the lowest one): 0.000 eV/atom

Structure (CIF):
```
data_Cs2Bi3
_chemical_formula_sum 'Cs4 Bi6'
_symmetry_space_group_name_H-M 'I m m m'
_symmetry_Int_Tables_number 71
_symmetry_space_group_name_Hall '-I 2 2'
_cell_length_a 5.4113
_cell_length_b 6.8470
_cell_length_c 12.5086
_cell_angle_alpha 90.00
_cell_angle_beta 90.00
_cell_angle_gamma 90.00
loop_
_atom_site_label
_atom_site_type_symbol
_atom_site_fract_x
_atom_site_fract_y
_atom_site_fract_z
Cs1 Cs 0.0000 0.0000 0.2100
Bi1 Bi 0.0000 0.2748 0.5000
Bi2 Bi 0.0000 0.5000 0.0000
```

# FeAg3Pt

A relaxed structure of FeAg3Pt (PBE, Alexandria via LeMat-Bulk).

Properties
* polymorph energy (0 for the lowest one): 0.000 eV/atom

Structure (CIF):
```
data_FeAg3Pt
_chemical_formula_sum 'Fe1 Ag3 Pt1'
_symmetry_space_group_name_H-M 'P m -3 m'
_symmetry_Int_Tables_number 221
_symmetry_space_group_name_Hall '-P 4 2 3'
_cell_length_a 4.7153
_cell_length_b 4.7153
_cell_length_c 4.7153
_cell_angle_alpha 90.00
_cell_angle_beta 90.00
_cell_angle_gamma 90.00
loop_
_atom_site_label
_atom_site_type_symbol
_atom_site_fract_x
_atom_site_fract_y
_atom_site_fract_z
Fe1 Fe 0.0000 0.0000 0.0000
Ag1 Ag 0.0000 0.0000 0.5000
Pt1 Pt 0.5000 0.5000 0.5000
```

Number 1: formation energy from the elements -29 kJ/mol of atoms. Number 2: formation energy from the elements 117 kJ/mol of atoms.